Computed, not measured: crystalline NdNbP2Ru at its relaxed geometry at the PBE level of DFT.

Unit cell a=4.1934 b=4.1934 c=10.2588 alpha=90.00 beta=90.00 gamma=90.00
Closest atoms and distances in Å follow each position.
Fractional coordinates of all 10 atoms:
1 Nd 0.0000 0.0000 0.0000  8 P 3.24, 4 Nb 3.31, 4 Ru 3.31
2 Nd 0.5000 0.5000 0.5000  8 P 3.24, 4 Nb 3.31, 4 Ru 3.31
3 Nb 0.0000 0.5000 0.2500  4 P 2.45
4 Nb 0.5000 0.0000 0.7500  4 P 2.45
5 P 0.0000 0.0000 0.3727  2 Nb 2.45, 2 Ru 2.45, 1 P 2.61
6 P 0.0000 0.0000 0.6273  2 Nb 2.45, 2 Ru 2.45, 1 P 2.61
7 P 0.5000 0.5000 0.1273  2 Nb 2.45, 2 Ru 2.45, 1 P 2.61
8 P 0.5000 0.5000 0.8727  2 Nb 2.45, 2 Ru 2.45, 1 P 2.61
9 Ru 0.0000 0.5000 0.7500  4 P 2.45
10 Ru 0.5000 0.0000 0.2500  4 P 2.45

Summary:
total moment	0.00	μB/f.u.
DFT total energy	-7.821	eV/atom
symmetry	I-4m2



Computed, not measured: crystalline LaTb7Ho2 at its relaxed geometry at the PBE level of DFT.

Unit cell a=9.1386 b=9.1386 c=5.6855 alpha=90.00 beta=90.00 gamma=122.55
Closest atoms and distances in Å follow each position.
Fractional coordinates of all 10 atoms:
1 La 0.0000 0.0000 0.0000  10 Tb 3.57-3.74
2 Tb 0.0603 0.2943 0.5000  2 Tb 3.12-3.40, 2 Ho 3.15-3.27
3 Tb 0.2227 0.7773 0.0000  2 Ho 3.08
4 Tb 0.2943 0.0603 0.5000  2 Tb 3.12-3.40, 2 Ho 3.15-3.27
5 Tb 0.5000 0.5000 0.5000  2 Ho 3.26, 4 Tb 3.40
6 Tb 0.7057 0.9397 0.5000  2 Tb 3.12-3.40, 2 Ho 3.15-3.27
7 Tb 0.7773 0.2227 0.0000  2 Ho 3.08
8 Tb 0.9397 0.7057 0.5000  2 Tb 3.12-3.40, 2 Ho 3.15-3.27
9 Ho 0.2966 0.7034 0.5000  7 Tb 3.08-3.27
10 Ho 0.7034 0.2966 0.5000  7 Tb 3.08-3.27

Summary:
total moment	0.00	μB/f.u.
symmetry	Cmmm
energy above the lowest structure with this stoichiometry	660	meV per atom